Version 1
First-principles (PBE) data for crystalline Sc4GaCo at its relaxed geometry, as listed in Alexandria.

Output
Calculated density = 3.9 g/cm³

```
data_Sc4GaCo
_chemical_formula_sum 'Sc4 Ga1 Co1'
_cell_length_a 4.5230
_cell_length_b 4.4825
_cell_length_c 6.5228
_cell_angle_alpha 81.50
_cell_angle_beta 90.02
_cell_angle_gamma 90.00
_space_group_name_H-M_alt 'P 1'
_space_group_IT_number 1
_space_group_name_Hall 'P 1'
loop_
_atom_site_label
_atom_site_type_symbol
_atom_site_fract_x
_atom_site_fract_y
_atom_site_fract_z
Sc1 Sc 0.5014 0.9372 0.2737
Sc2 Sc 0.5011 0.0571 0.7233
Sc3 Sc 0.0011 0.5467 0.7292
Sc4 Sc 0.0015 0.4478 0.2663
Ga1 Ga 0.5014 0.4972 0.9981
Co1 Co 0.0013 0.9977 0.4983
```



Version 2
First-principles (PBE) data for crystalline Sc4GaCo at its relaxed geometry, as listed in Alexandria.

Output
Calculated density = 4.2 g/cm³

```
data_Sc4GaCo
_chemical_formula_sum 'Sc8 Ga2 Co2'
_cell_length_a 5.4981
_cell_length_b 7.1036
_cell_length_c 7.1036
_cell_angle_alpha 111.77
_cell_angle_beta 99.60
_cell_angle_gamma 99.60
_space_group_name_H-M_alt 'P 1'
_space_group_IT_number 1
_space_group_name_Hall 'P 1'
loop_
_atom_site_label
_atom_site_type_symbol
_atom_site_fract_x
_atom_site_fract_y
_atom_site_fract_z
Sc1 Sc 0.8915 0.6331 0.7873
Sc2 Sc 0.0464 0.9410 0.2769
Sc3 Sc 0.6085 0.2127 0.3669
Sc4 Sc 0.4536 0.7231 0.0590
Sc5 Sc 0.5464 0.2769 0.9410
Sc6 Sc 0.3915 0.7873 0.6331
Sc7 Sc 0.9536 0.0590 0.7231
Sc8 Sc 0.1085 0.3669 0.2127
Ga1 Ga 0.7500 0.6263 0.3737
Ga2 Ga 0.2500 0.3737 0.6263
Co1 Co 0.2500 0.9991 0.0009
Co2 Co 0.7500 0.0009 0.9991
```



Which structure is the least stable? The one labeled version 1.



Version 1
First-principles (PBE) data for crystalline Sc2Ga3Co4 at its relaxed geometry, as listed in Alexandria.

Output
Calculated density = 6.9 g/cm³

```
data_Sc2Ga3Co4
_chemical_formula_sum 'Sc4 Ga6 Co8'
_cell_length_a 5.2665
_cell_length_b 6.5797
_cell_length_c 7.8841
_cell_angle_alpha 90.00
_cell_angle_beta 109.51
_cell_angle_gamma 90.00
_space_group_name_H-M_alt 'P 1'
_space_group_IT_number 1
_space_group_name_Hall 'P 1'
loop_
_atom_site_label
_atom_site_type_symbol
_atom_site_fract_x
_atom_site_fract_y
_atom_site_fract_z
Sc1 Sc 0.1001 0.5900 0.2001
Sc2 Sc 0.8999 0.4100 0.7999
Sc3 Sc 0.3999 0.0900 0.7999
Sc4 Sc 0.6001 0.9100 0.2001
Ga1 Ga 0.0000 0.0000 0.0000
Ga2 Ga 0.5000 0.5000 0.0000
Ga3 Ga 0.5097 0.7500 0.5195
Ga4 Ga 0.9903 0.2500 0.4805
Ga5 Ga 0.4903 0.2500 0.4805
Ga6 Ga 0.0097 0.7500 0.5195
Co1 Co 0.6743 0.7500 0.8485
Co2 Co 0.8257 0.2500 0.1515
Co3 Co 0.3257 0.2500 0.1515
Co4 Co 0.1743 0.7500 0.8485
Co5 Co 0.1644 0.9886 0.3288
Co6 Co 0.8356 0.0114 0.6712
Co7 Co 0.3356 0.4886 0.6712
Co8 Co 0.6644 0.5114 0.3288
```



Version 2
First-principles (PBE) data for crystalline Sc2Ga3Co4 at its relaxed geometry, as listed in Alexandria.

Output
Calculated density = 7.1 g/cm³

```
data_Sc2Ga3Co4
_chemical_formula_sum 'Sc2 Ga3 Co4'
_cell_length_a 4.2242
_cell_length_b 4.3122
_cell_length_c 7.8944
_cell_angle_alpha 87.23
_cell_angle_beta 89.97
_cell_angle_gamma 60.68
_space_group_name_H-M_alt 'P 1'
_space_group_IT_number 1
_space_group_name_Hall 'P 1'
loop_
_atom_site_label
_atom_site_type_symbol
_atom_site_fract_x
_atom_site_fract_y
_atom_site_fract_z
Sc1 Sc 0.3228 0.3547 0.7827
Sc2 Sc 0.6772 0.6453 0.2173
Ga1 Ga 0.3478 0.3037 0.4144
Ga2 Ga 0.0000 0.0000 0.0000
Ga3 Ga 0.6522 0.6963 0.5856
Co1 Co 0.6591 0.6819 0.8956
Co2 Co 0.0211 0.9571 0.3548
Co3 Co 0.9789 0.0429 0.6452
Co4 Co 0.3409 0.3181 0.1044
```



Which structure is the least stable? The one labeled version 2.



Version 1
First-principles (PBE) data for crystalline GaCo2Se2 at its relaxed geometry, as listed in Alexandria.

Output
Calculated density = 7.2 g/cm³

```
data_GaCo2Se2
_chemical_formula_sum 'Ga2 Co4 Se4'
_cell_length_a 7.4257
_cell_length_b 7.4257
_cell_length_c 2.8972
_cell_angle_alpha 90.00
_cell_angle_beta 90.00
_cell_angle_gamma 90.00
_space_group_name_H-M_alt 'P 1'
_space_group_IT_number 1
_space_group_name_Hall 'P 1'
loop_
_atom_site_label
_atom_site_type_symbol
_atom_site_fract_x
_atom_site_fract_y
_atom_site_fract_z
Co1 Co 0.1206 0.6206 0.5000
Co2 Co 0.6206 0.8794 0.5000
Co3 Co 0.8794 0.3794 0.5000
Co4 Co 0.3794 0.1206 0.5000
Ga1 Ga 0.0000 0.0000 0.0000
Ga2 Ga 0.5000 0.5000 0.0000
Se1 Se 0.3541 0.8541 0.0000
Se2 Se 0.8541 0.6459 0.0000
Se3 Se 0.6459 0.1459 0.0000
Se4 Se 0.1459 0.3541 0.0000
```



Version 2
First-principles (PBE) data for crystalline GaCo2Se2 at its relaxed geometry, as listed in Alexandria.

Output
Calculated density = 6.3 g/cm³

```
data_GaCo2Se2
_chemical_formula_sum 'Ga1 Co2 Se2'
_cell_length_a 3.8111
_cell_length_b 3.8111
_cell_length_c 6.8498
_cell_angle_alpha 73.85
_cell_angle_beta 73.85
_cell_angle_gamma 90.00
_space_group_name_H-M_alt 'P 1'
_space_group_IT_number 1
_space_group_name_Hall 'P 1'
loop_
_atom_site_label
_atom_site_type_symbol
_atom_site_fract_x
_atom_site_fract_y
_atom_site_fract_z
Co1 Co 0.7500 0.2500 0.5000
Co2 Co 0.2500 0.7500 0.5000
Ga1 Ga 0.0000 0.0000 0.0000
Se1 Se 0.3572 0.3572 0.2856
Se2 Se 0.6428 0.6428 0.7144
```



Which structure is the least stable? The one labeled version 1.



Version 1
First-principles (PBE) data for crystalline Ga3CoSi at its relaxed geometry, as listed in Alexandria.

Output
Calculated density = 4.6 g/cm³

```
data_Ga3CoSi
_chemical_formula_sum 'Ga3 Co1 Si1'
_cell_length_a 4.7612
_cell_length_b 4.7612
_cell_length_c 4.7612
_cell_angle_alpha 90.00
_cell_angle_beta 90.00
_cell_angle_gamma 90.00
_space_group_name_H-M_alt 'P 1'
_space_group_IT_number 1
_space_group_name_Hall 'P 1'
loop_
_atom_site_label
_atom_site_type_symbol
_atom_site_fract_x
_atom_site_fract_y
_atom_site_fract_z
Si1 Si 0.0000 0.0000 0.0000
Co1 Co 0.5000 0.5000 0.5000
Ga1 Ga 0.0000 0.5000 0.0000
Ga2 Ga 0.0000 0.0000 0.5000
Ga3 Ga 0.5000 0.0000 0.0000
```



Version 2
First-principles (PBE) data for crystalline Ga3CoSi at its relaxed geometry, as listed in Alexandria.

Output
Calculated density = 5.3 g/cm³

```
data_Ga3CoSi
_chemical_formula_sum 'Ga3 Co1 Si1'
_cell_length_a 4.5282
_cell_length_b 4.5282
_cell_length_c 4.5282
_cell_angle_alpha 90.00
_cell_angle_beta 90.00
_cell_angle_gamma 90.00
_space_group_name_H-M_alt 'P 1'
_space_group_IT_number 1
_space_group_name_Hall 'P 1'
loop_
_atom_site_label
_atom_site_type_symbol
_atom_site_fract_x
_atom_site_fract_y
_atom_site_fract_z
Si1 Si 0.5000 0.5000 0.5000
Co1 Co 0.0000 0.0000 0.0000
Ga1 Ga 0.0000 0.5000 0.0000
Ga2 Ga 0.0000 0.0000 0.5000
Ga3 Ga 0.5000 0.0000 0.0000
```



Which structure is the least stable? The one labeled version 1.



Version 1
First-principles (PBE) data for crystalline TbSmGaCo at its relaxed geometry, as listed in Alexandria.

Output
Calculated density = 8.3 g/cm³

```
data_TbSmGaCo
_chemical_formula_sum 'Tb1 Sm1 Ga1 Co1'
_cell_length_a 4.9922
_cell_length_b 4.9922
_cell_length_c 4.9922
_cell_angle_alpha 60.00
_cell_angle_beta 60.00
_cell_angle_gamma 60.00
_space_group_name_H-M_alt 'P 1'
_space_group_IT_number 1
_space_group_name_Hall 'P 1'
loop_
_atom_site_label
_atom_site_type_symbol
_atom_site_fract_x
_atom_site_fract_y
_atom_site_fract_z
Co1 Co 0.7500 0.7500 0.7500
Tb1 Tb 0.0000 0.0000 0.0000
Ga1 Ga 0.2500 0.2500 0.2500
Sm1 Sm 0.5000 0.5000 0.5000
```



Version 2
First-principles (PBE) data for crystalline TbSmGaCo at its relaxed geometry, as listed in Alexandria.

Output
Calculated density = 8.0 g/cm³

```
data_TbSmGaCo
_chemical_formula_sum 'Tb1 Sm1 Ga1 Co1'
_cell_length_a 4.0165
_cell_length_b 4.2336
_cell_length_c 5.6812
_cell_angle_alpha 90.00
_cell_angle_beta 110.70
_cell_angle_gamma 90.00
_space_group_name_H-M_alt 'P 1'
_space_group_IT_number 1
_space_group_name_Hall 'P 1'
loop_
_atom_site_label
_atom_site_type_symbol
_atom_site_fract_x
_atom_site_fract_y
_atom_site_fract_z
Tb1 Tb 0.8596 0.5000 0.7192
Sm1 Sm 0.1422 0.0000 0.2843
Ga1 Ga 0.5624 0.5000 0.1249
Co1 Co 0.4358 0.0000 0.8716
```



Which structure is the least stable? The one labeled version 1.